Entry 1:
DFT (PBE-GGA) results for Ho3ScSe4 after structural relaxation.

Cell: 6.9753 6.9753 3.9789 Å, 90.00 90.00 109.02°
Last column: nearest neighbours and their distance in Å.
Fractional coordinates of all 8 atoms:
1 Ho 0.0000 0.0000 0.0000  6 Se 2.89
2 Ho 0.0000 0.5000 0.5000  6 Se 2.84
3 Ho 0.5000 0.0000 0.5000  6 Se 2.84
4 Sc 0.5000 0.5000 0.0000  6 Se 2.79
5 Se 0.2544 0.7456 0.0000  1 Sc 2.79, 5 Ho 2.84-2.89
6 Se 0.2587 0.2587 0.5000  2 Sc 2.79, 4 Ho 2.84-2.89
7 Se 0.7413 0.7413 0.5000  2 Sc 2.79, 4 Ho 2.84-2.89
8 Se 0.7456 0.2544 0.0000  1 Sc 2.79, 5 Ho 2.84-2.89

## Properties
Its formation energy from raw total energies is -13.442 eV/f.u. The value obtained for the raw total energy is -0.4359 Ry per atom. The space group is Cmmm.

Entry 2:
DFT (PBE-GGA) results for ScSeS after structural relaxation.

Cell: 4.9577 4.9577 7.9205 Å, 99.72 99.72 43.45°
Last column: nearest neighbours and their distance in Å.
Fractional coordinates of all 6 atoms:
1 Sc 0.0000 0.0000 0.0000  4 S 2.51-2.79, 2 Se 2.69
2 Sc 0.2104 0.2104 0.6700  5 S 2.66-2.75, 2 Se 2.72
3 Se 0.4302 0.4302 0.2199  1 Se 2.41, 2 Sc 2.69
4 Se 0.6652 0.6652 0.4126  1 Se 2.41
5 S 0.6926 0.6926 0.9243  5 Sc 2.69-2.79
6 S 0.9229 0.9229 0.6789  4 Sc 2.51-2.68

## Properties
Its formation energy from raw total energies is -4.138 eV/f.u. The calculation puts the excess energy over the best structure of this formula in the dataset at 99 meV per atom. The value obtained for the raw total energy is -0.4430 Ry per atom. The space group is Cm.

Entry 3:
DFT (PBE-GGA) results for CeNbSn after structural relaxation.

Cell: 5.1202 5.1202 3.1479 Å, 90.00 90.00 120.00°
Last column: nearest neighbours and their distance in Å.
Fractional coordinates of all 3 atoms:
1 Ce 0.0000 0.0000 0.0000  2 Ce 3.15, 6 Nb 3.35, 6 Sn 3.35
2 Nb 0.6667 0.3333 0.5000  3 Sn 2.96, 2 Nb 3.15
3 Sn 0.3333 0.6667 0.5000  3 Nb 2.96, 2 Sn 3.15

## Properties
The value obtained for the raw total energy is -0.4886 Ry per atom. Its energy of formation from the pure elements is 0.021 eV/atom. The space group is P-6m2.

Entry 4:
DFT (PBE-GGA) results for NiSnBi2Pb after structural relaxation.

Cell: 5.2704 5.2704 5.1101 Å, 90.00 90.00 90.00°
Last column: nearest neighbours and their distance in Å.
Fractional coordinates of all 5 atoms:
1 Ni 0.0000 0.0000 0.0000  2 Pb 2.56, 4 Bi 2.64
2 Sn 0.5000 0.5000 0.5000  8 Bi 3.67, 4 Pb 3.73
3 Bi 0.0000 0.5000 0.0000  2 Ni 2.64
4 Bi 0.5000 0.0000 0.0000  2 Ni 2.64
5 Pb 0.0000 0.0000 0.5000  2 Ni 2.56

## Properties
The value obtained for the raw total energy is -0.2960 Ry per atom. Its energy of formation from the pure elements is 0.224 eV/atom. The space group is P4/mmm.

Entry 5:
DFT (PBE-GGA) results for Pr2PaP3 after structural relaxation.

Cell: 7.1355 7.1355 7.1355 Å, 146.50 132.02 59.78°
Last column: nearest neighbours and their distance in Å.
Fractional coordinates of all 6 atoms:
1 Pr 0.1689 0.1689 0.0000  6 P 2.91-3.01
2 Pr 0.8311 0.8311 0.0000  6 P 2.91-3.01
3 Pa 0.5000 0.5000 0.0000  6 P 2.80-2.90
4 P 0.0000 0.5000 0.5000  2 Pa 2.90, 4 Pr 2.93
5 P 0.3463 0.8463 0.5000  2 Pa 2.80, 4 Pr 2.91-3.01
6 P 0.6537 0.1537 0.5000  2 Pa 2.80, 4 Pr 2.91-3.01

## Properties
The calculation puts the excess energy over the best structure of this formula in the dataset at 11 meV per atom. The value obtained for the raw total energy is -0.5389 Ry per atom. Its energy of formation from the pure elements is -1.451 eV/atom. The space group is Immm.

Entry 6:
DFT (PBE-GGA) results for TlCuI2Br6 after structural relaxation.

Cell: 6.5841 7.9718 8.6676 Å, 103.79 104.15 102.43°
Last column: nearest neighbours and their distance in Å.
Fractional coordinates of all 10 atoms:
1 Tl 0.0000 0.0000 0.0000  4 Br 3.29-3.37, 2 I 3.64
2 Cu 0.9970 0.4994 0.4991  4 Br 2.33-2.40
3 I 0.3132 0.7294 0.1775  2 Br 2.65-2.77
4 I 0.6852 0.2706 0.8236  2 Br 2.65-2.78
5 Br 0.1079 0.7668 0.4225  1 Cu 2.40
6 Br 0.1818 0.3381 0.3505  1 Cu 2.33
7 Br 0.4953 0.7376 0.9373  1 I 2.65
8 Br 0.5068 0.2634 0.0659  1 I 2.65
9 Br 0.8133 0.6612 0.6486  1 Cu 2.33
10 Br 0.8861 0.2321 0.5758  1 Cu 2.40

## Properties
Its formation energy from raw total energies is -2.444 eV/f.u. The value obtained for the raw total energy is -0.1620 Ry per atom. The space group is P1.

Entry 7:
DFT (PBE-GGA) results for Sc2TiGe2 after structural relaxation.

Cell: 6.9323 6.9323 3.9333 Å, 90.00 90.00 90.00°
Last column: nearest neighbours and their distance in Å.
Fractional coordinates of all 10 atoms:
1 Sc 0.1718 0.3282 0.0000  6 Ge 2.74-2.90
2 Sc 0.3282 0.8282 0.0000  6 Ge 2.74-2.90
3 Sc 0.6718 0.1718 0.0000  6 Ge 2.74-2.90
4 Sc 0.8282 0.6718 0.0000  6 Ge 2.74-2.90
5 Ti 0.0000 0.0000 0.5000  4 Ge 2.70
6 Ti 0.5000 0.5000 0.5000  4 Ge 2.70
7 Ge 0.1342 0.6342 0.5000  1 Ge 2.63, 2 Ti 2.70, 6 Sc 2.74-2.90
8 Ge 0.3658 0.1342 0.5000  1 Ge 2.63, 2 Ti 2.70, 6 Sc 2.74-2.90
9 Ge 0.6342 0.8658 0.5000  1 Ge 2.63, 2 Ti 2.70, 6 Sc 2.74-2.90
10 Ge 0.8658 0.3658 0.5000  1 Ge 2.63, 2 Ti 2.70, 6 Sc 2.74-2.90

## Properties
The calculation puts the excess energy over the best structure of this formula in the dataset at 0 meV per atom. The value obtained for the raw total energy is -0.4904 Ry per atom. Its energy of formation from the pure elements is -0.714 eV/atom. The space group is P4/mbm.